(1)
Li2TlPdN: relaxed, PBE.

Summary:
Formation energy without anion corrections: -0.168 eV/atom
Fermi-level density of states: 1.7 states/eV/cell
Spin magnetization: 0.0 Bohr magnetons per cell

Lattice parameters (Å, degrees): 4.317 4.317 4.000 90.00 90.00 90.00
Fractional coordinates of all 5 atoms:
Li 0.000 0.500 0.000
Li 0.500 0.000 0.000
Tl 0.000 0.000 0.500
Pd 0.500 0.500 0.500
N 0.500 0.500 0.000

---

(2)
Li2Pm3Ag4: relaxed, PBE.

Summary:
Relative energy among the computed polymorphs: 0.000 kcal/mol of atoms
Fermi-level density of states: 8.4 states/eV/cell
DFT formation energy: -1.77 eV per formula unit
Spin magnetization: 0.0 Bohr magnetons per cell

Lattice parameters (Å, degrees): 5.903 5.903 8.948 113.71 113.71 47.84
Fractional coordinates of all 9 atoms:
Li 0.152 0.152 0.319
Li 0.848 0.848 0.681
Pm 0.149 0.149 0.683
Pm 0.500 0.500 0.000
Pm 0.851 0.851 0.317
Ag 0.220 0.220 0.065
Ag 0.422 0.422 0.600
Ag 0.578 0.578 0.400
Ag 0.780 0.780 0.935

---

(3)
InPAu2: relaxed, PBE.

Summary:
Relative energy among the computed polymorphs: 1.506 kcal/mol of atoms
Fermi-level density of states: 0.9 states/eV/cell
DFT formation energy: 0.08 eV per formula unit
Spin magnetization: 0.0 Bohr magnetons per cell

Lattice parameters (Å, degrees): 6.766 6.766 3.749 100.63 100.63 29.52
Fractional coordinates of all 4 atoms:
In 0.000 0.000 0.000
P 0.205 0.205 0.085
Au 0.401 0.401 0.431
Au 0.724 0.724 0.611

---

Q: Among the records above, which one has the highest Fermi-level density of states?
A: Li2Pm3Ag4

---

Q: Which formula does entry 2 have?
A: Li2Pm3Ag4

---

Please write out number 3 again, unchanged.
InPAu2: relaxed, PBE.

Summary:
Relative energy among the computed polymorphs: 1.506 kcal/mol of atoms
Fermi-level density of states: 0.9 states/eV/cell
DFT formation energy: 0.08 eV per formula unit
Spin magnetization: 0.0 Bohr magnetons per cell

Lattice parameters (Å, degrees): 6.766 6.766 3.749 100.63 100.63 29.52
Fractional coordinates of all 4 atoms:
In 0.000 0.000 0.000
P 0.205 0.205 0.085
Au 0.401 0.401 0.431
Au 0.724 0.724 0.611

---

Q: Fermi-level density of states of number 2 (Li2Pm3Ag4)?
A: 8.4 states/eV/cell